DFT (PBE-GGA) results for a relaxed Zn2TeI crystal.

Offset from the most stable computed form ... 0.348 eV per atom
Raw total energy ... -1.5860 eV per atom
Raw formation energy ... 224 meV/atom

abc: 5.211 5.211 5.211
angles: 60.00 60.00 60.00
Element x y z (fractional)
1 Zn 0.250 0.250 0.250
2 Zn 0.750 0.750 0.750
3 Te 0.000 0.000 0.000
4 I 0.500 0.500 0.500

DFT (PBE-GGA) results for a relaxed PtAuBr2 crystal.

Offset from the most stable computed form ... 0.174 eV per atom
Raw total energy ... -2.9667 eV per atom
Raw formation energy ... 199 meV/atom

abc: 6.998 6.998 4.651
angles: 101.01 101.01 29.40
Element x y z (fractional)
1 Pt 0.000 0.000 0.000
2 Au 0.500 0.500 0.500
3 Br 0.358 0.358 0.816
4 Br 0.642 0.642 0.184

DFT (PBE-GGA) results for a relaxed MgMnMoH crystal.

Offset from the most stable computed form ... 0.256 eV per atom
Raw total energy ... -5.9074 eV per atom

abc: 2.860 3.927 4.934
angles: 90.00 91.05 90.00
Element x y z (fractional)
1 Mg 0.000 0.000 0.000
2 Mn 0.481 0.000 0.521
3 Mo 0.973 0.500 0.455
4 H 0.956 0.500 0.101

DFT (PBE-GGA) results for a relaxed CaYCd2 crystal.

Raw total energy ... -2.9330 eV per atom
ΔH_f (0 K) ... -0.359 eV per atom

abc: 5.347 5.347 5.347
angles: 60.00 60.00 60.00
Element x y z (fractional)
1 Ca 0.000 0.000 0.000
2 Y 0.500 0.500 0.500
3 Cd 0.250 0.250 0.250
4 Cd 0.750 0.750 0.750

DFT (PBE-GGA) results for a relaxed LiAgN2O crystal.

Raw total energy ... -3.8398 eV per atom
Raw formation energy ... 1435 meV/atom

abc: 4.094 4.094 4.299
angles: 90.00 90.00 90.00
Element x y z (fractional)
1 Li 0.000 0.000 0.000
2 Ag 0.500 0.500 0.500
3 N 0.000 0.500 0.500
4 N 0.500 0.000 0.500
5 O 0.500 0.500 0.000

DFT (PBE-GGA) results for a relaxed BaTa crystal.

Offset from the most stable computed form ... 1.153 eV per atom
Raw total energy ... -5.2148 eV per atom
ΔH_f (0 K) ... 1.673 eV per atom

abc: 4.321 4.321 3.163
angles: 90.00 90.00 90.00
Element x y z (fractional)
1 Ba 0.000 0.000 0.000
2 Ta 0.500 0.500 0.500

DFT (PBE-GGA) results for a relaxed LaTbSe2 crystal.

Offset from the most stable computed form ... 0.104 eV per atom
Raw total energy ... -5.9211 eV per atom
Raw formation energy ... -1789 meV/atom

abc: 4.055 4.055 7.549
angles: 90.00 90.00 120.00
Element x y z (fractional)
1 La 0.000 0.000 0.000
2 Tb 0.000 0.000 0.500
3 Se 0.333 0.667 0.731
4 Se 0.667 0.333 0.269

DFT (PBE-GGA) results for a relaxed La6TbPrTh2 crystal.

Raw total energy ... -5.2477 eV per atom
ΔH_f (0 K) ... 0.134 eV per atom

abc: 8.812 8.812 10.710
angles: 97.38 97.38 117.62
Element x y z (fractional)
1 La 0.012 0.562 0.169
2 La 0.106 0.741 0.543
3 La 0.259 0.894 0.957
4 La 0.313 0.509 0.383
5 La 0.438 0.988 0.331
6 La 0.491 0.687 0.117
7 La 0.509 0.313 0.883
8 La 0.562 0.012 0.669
9 La 0.687 0.491 0.617
10 La 0.741 0.106 0.043
11 La 0.894 0.259 0.457
12 La 0.988 0.438 0.831
13 Tb 0.402 0.598 0.750
14 Tb 0.598 0.402 0.250
15 Pr 0.009 0.991 0.250
16 Pr 0.991 0.009 0.750
17 Th 0.183 0.265 0.044
18 Th 0.265 0.183 0.544
19 Th 0.735 0.817 0.456
20 Th 0.817 0.735 0.956